Entry 1:
DFT (PBE) results for La3PrN after structural relaxation.

Results
Crystal system: cubic
Raw total energy (eV/atom): -6.0654
Formation energy without anion corrections (eV/atom): -0.49
Fermi-level density of states (states/eV per cell): 7.37

abc: 5.236 5.236 5.236
angles: 90.00 90.00 90.00
Sites, in units of the cell vectors:
Pr1 0.500 0.500 0.500
La1 0.500 0.000 0.000
La2 0.000 0.000 0.500
La3 0.000 0.500 0.000
N1 0.000 0.000 0.000



Entry 2:
DFT (PBE) results for LiTlSi after structural relaxation.

Results
Crystal system: orthorhombic
Raw total energy (eV/atom): -3.0318
Formation energy without anion corrections (eV/atom): 0.20
Fermi-level density of states (states/eV per cell): 3.43

abc: 7.428 7.104 4.813
angles: 90.00 90.00 90.00
Sites, in units of the cell vectors:
Tl1 0.000 0.000 0.000
Tl2 0.500 0.000 0.500
Tl3 0.000 0.500 0.000
Tl4 0.500 0.500 0.500
Li1 0.640 0.250 0.001
Li2 0.140 0.250 0.499
Li3 0.860 0.750 0.501
Li4 0.360 0.750 0.999
Si1 0.212 0.750 0.499
Si2 0.788 0.250 0.501
Si3 0.288 0.250 0.999
Si4 0.712 0.750 0.001



- What is the Fermi-level density of states in the second record?
  3.43 states/eV per cell



- Fermi-level density of states of number 2 (LiTlSi)?
  3.43 states/eV per cell